# 1
# IrRu5W2

An optimized crystal structure of IrRu5W2 (PBE, Alexandria via LeMat-Bulk).

## Properties
M_tot: 0.0 μB per cell
E_form: -0.11 eV/atom

Cell and atoms, written as POSCAR:
```
IrRu5W2
1.0
-2.7403 2.7403 3.8552
2.7403 -2.7403 3.8552
2.7403 2.7403 -3.8552
Ir Ru W
1 5 2
Direct
0.0000 0.0000 0.0000 Ir
0.0000 0.0000 0.5000 Ru
0.0000 0.5000 0.0000 Ru
0.5000 0.0000 0.0000 Ru
0.5000 0.5000 0.0000 Ru
0.5000 0.5000 0.5000 Ru
0.0000 0.5000 0.5000 W
0.5000 0.0000 0.5000 W
```

***

# 2
# Zr2SbPd6

An optimized crystal structure of Zr2SbPd6 (PBE, Alexandria via LeMat-Bulk).

## Properties
M_tot: 0.0 μB per cell
DFT total energy: -0.232 Ha/atom

Cell and atoms, written as POSCAR:
```
Zr2SbPd6
1.0
3.7747 -6.9759 0.0000
3.7747 6.9759 0.0000
0.0000 0.0000 3.0949
Zr Sb Pd
2 1 6
Direct
0.1885 0.8115 0.0000 Zr
0.8115 0.1885 0.0000 Zr
0.5000 0.5000 0.5000 Sb
0.1492 0.4706 0.5000 Pd
0.1814 0.1814 0.0000 Pd
0.4706 0.1492 0.5000 Pd
0.5294 0.8508 0.5000 Pd
0.8186 0.8186 0.0000 Pd
0.8508 0.5294 0.5000 Pd
```

***

# 3
# IrPd2I8

An optimized crystal structure of IrPd2I8 (PBE, Alexandria via LeMat-Bulk).

## Properties
M_tot: 0.0 μB per cell
DFT total energy: -0.107 Ha/atom

Cell and atoms, written as POSCAR:
```
IrPd2I8
1.0
7.4173 0.0000 0.0000
-0.0102 7.8024 0.0000
-0.8924 -3.1071 8.5151
Ir Pd I
1 2 8
Direct
0.0000 0.0000 0.0000 Ir
0.4214 0.9209 0.1568 Pd
0.5786 0.0791 0.8432 Pd
0.1164 0.9945 0.2892 I
0.1636 0.6821 0.8756 I
0.3172 0.1839 0.0341 I
0.4667 0.2907 0.6876 I
0.5333 0.7093 0.3124 I
0.6828 0.8161 0.9659 I
0.8364 0.3179 0.1244 I
0.8836 0.0055 0.7108 I
```